Record 1
# Sc2TaRe

A relaxed Sc2TaRe crystal (GGA-PBE, Alexandria).

Distance to the lowest polymorph of the same formula, kJ/mol of atoms: 17.0
Space-group type: Cmm2 (35)
E_form, kJ/mol of formula units: 25
Energy, eV/atom: -9.18
Calculated volume, A^3/atom: 19.504

abc: 2.9488 2.9488 9.6330
angles: 90.00 90.00 111.35
Fractional positions:
Re 0.5000 0.5000 0.7387
Sc 0.0000 0.0000 0.9648
Sc 0.5000 0.5000 0.2694
Ta 0.0000 0.0000 0.5271


Record 2
# LiTmU2S6

A relaxed LiTmU2S6 crystal (GGA-PBE, Alexandria).

Formation energy from raw total energies, meV per atom: -1158
Space-group type: P4mm (99)
Energy, eV/atom: -6.53
Calculated volume, A^3/atom: 24.950

abc: 6.5451 6.1741 6.1741
angles: 90.00 90.00 90.00
Each line ends with the local moment (μB).
Fractional positions:
Li 0.5411 0.0000 0.0000  0.00
Tm 0.5712 0.5000 0.5000  -0.04
U 0.9906 0.5000 0.0000  2.17
U 0.9906 0.0000 0.5000  2.17
S 0.7520 0.2412 0.2412  -0.08
S 0.7520 0.2412 0.7588  -0.08
S 0.1714 0.5000 0.5000  -0.04
S 0.1740 0.0000 0.0000  -0.06
S 0.7520 0.7588 0.7588  -0.08
S 0.7520 0.7588 0.2412  -0.08


Record 3
# CsMgH2

A relaxed CsMgH2 crystal (GGA-PBE, Alexandria).

Distance to the lowest polymorph of the same formula, kJ/mol of atoms: 21.3
Space-group type: R-3m (166)
Energy, eV/atom: -2.07
Calculated volume, A^3/atom: 18.803

abc: 3.4511 3.4511 7.5593
angles: 76.80 76.80 60.00
Fractional positions:
Cs 0.0000 0.0000 0.0000
H 0.1272 0.1272 0.6185
H 0.8728 0.8728 0.3815
Mg 0.5000 0.5000 0.5000


Record 4
# GdGaAu4

A relaxed GdGaAu4 crystal (GGA-PBE, Alexandria).

Space-group type: F-43m (216)
E_form, kJ/mol of formula units: -221
Energy, eV/atom: -5.42
Calculated volume, A^3/atom: 20.661

abc: 5.5968 5.5968 5.5968
angles: 60.00 60.00 60.00
Each line ends with the local moment (μB).
Fractional positions:
Gd 0.2500 0.2500 0.2500  6.92
Au 0.6252 0.6252 0.1243  0.00
Au 0.6252 0.1243 0.6252  0.00
Au 0.6252 0.6252 0.6252  0.00
Au 0.1243 0.6252 0.6252  0.00
Ga 0.0000 0.0000 0.0000  -0.01


Record 5
# Zn2Fe2Pt3

A relaxed Zn2Fe2Pt3 crystal (GGA-PBE, Alexandria).

Space-group type: Cmmm (65)
E_form, kJ/mol of formula units: -185
Energy, eV/atom: -5.65
Calculated volume, A^3/atom: 14.275

abc: 3.9290 2.7513 9.4506
angles: 90.00 78.00 90.00
Each line ends with the local moment (μB).
Fractional positions:
Zn 0.5727 0.5000 0.8546  -0.01
Zn 0.4273 0.5000 0.1454  -0.01
Fe 0.7143 0.5000 0.5715  2.80
Fe 0.2857 0.5000 0.4285  2.80
Pt 0.8466 0.0000 0.3067  0.29
Pt 0.0000 0.0000 0.0000  0.02
Pt 0.1534 0.0000 0.6933  0.29


Record 6
# Er6Cd5Pt

A relaxed Er6Cd5Pt crystal (GGA-PBE, Alexandria).

Space-group type: P2/m (10)
E_form, kJ/mol of formula units: -553
Energy, eV/atom: -3.64
Calculated volume, A^3/atom: 24.578

abc: 5.1774 7.3379 8.1882
angles: 90.00 71.46 90.00
Fractional positions:
Er 0.8426 0.7584 0.3142
Er 0.8426 0.2416 0.3142
Er 0.5000 0.2326 0.0000
Er 0.5000 0.7674 0.0000
Er 0.1574 0.7584 0.6858
Er 0.1574 0.2416 0.6858
Pt 0.0000 0.0000 0.0000
Cd 0.6716 0.5000 0.6578
Cd 0.3227 0.0000 0.3543
Cd 0.0000 0.5000 0.0000
Cd 0.6773 0.0000 0.6457
Cd 0.3284 0.5000 0.3422


Record 7
# CoWAu2

A relaxed CoWAu2 crystal (GGA-PBE, Alexandria).

Distance to the lowest polymorph of the same formula, kJ/mol of atoms: 16.7
Space-group type: Cm (8)
E_form, kJ/mol of formula units: 137
Energy, eV/atom: -6.30
Calculated volume, A^3/atom: 15.627

abc: 4.8001 4.8001 4.9225
angles: 78.80 78.80 34.26
Each line ends with the local moment (μB).
Fractional positions:
Au 0.0052 0.0052 0.9881  0.00
Au 0.2410 0.2410 0.2570  -0.01
Co 0.4899 0.4899 0.5277  0.38
W 0.7639 0.7639 0.7272  -0.06


Record 8
# BiRh3Au

A relaxed BiRh3Au crystal (GGA-PBE, Alexandria).

Distance to the lowest polymorph of the same formula, kJ/mol of atoms: 0.0
Space-group type: Pm-3m (221)
E_form, kJ/mol of formula units: 620
Energy, eV/atom: -4.56
Calculated volume, A^3/atom: 23.217

abc: 4.8782 4.8782 4.8782
angles: 90.00 90.00 90.00
Fractional positions:
Rh 0.0000 0.5000 0.0000
Rh 0.0000 0.0000 0.5000
Rh 0.5000 0.0000 0.0000
Au 0.0000 0.0000 0.0000
Bi 0.5000 0.5000 0.5000


Record 9
# Li2SmEr2Pb2

A relaxed Li2SmEr2Pb2 crystal (GGA-PBE, Alexandria).

Space-group type: R-3m (166)
E_form, kJ/mol of formula units: -211
Energy, eV/atom: -3.90
Calculated volume, A^3/atom: 25.900

abc: 4.8553 4.8553 9.3124
angles: 74.89 74.89 60.00
Fractional positions:
Li 0.5891 0.5891 0.2328
Li 0.4109 0.4109 0.7672
Sm 0.0000 0.0000 0.0000
Er 0.1303 0.1303 0.6091
Er 0.8697 0.8697 0.3909
Pb 0.7382 0.7382 0.7854
Pb 0.2618 0.2618 0.2146


Record 10
# Sn2HgBr8

A relaxed Sn2HgBr8 crystal (GGA-PBE, Alexandria).

Formation energy from raw total energies, meV per atom: -586
Space-group type: C2/m (12)
Energy, eV/atom: -2.56
Calculated volume, A^3/atom: 48.988

abc: 9.7173 8.5711 8.5711
angles: 56.32 68.22 68.22
Fractional positions:
Sn 0.6840 0.7944 0.7944
Sn 0.3160 0.2056 0.2056
Hg 0.0000 0.0000 0.0000
Br 0.2412 0.3914 0.8915
Br 0.7588 0.1085 0.6086
Br 0.4043 0.8490 0.8490
Br 0.5957 0.1510 0.1510
Br 0.2412 0.8915 0.3914
Br 0.7588 0.6086 0.1085
Br 0.8162 0.6133 0.6133
Br 0.1838 0.3867 0.3867


Record 11
# CdAsIr2

A relaxed CdAsIr2 crystal (GGA-PBE, Alexandria).

Distance to the lowest polymorph of the same formula, kJ/mol of atoms: 20.3
Space-group type: Immm (71)
E_form, kJ/mol of formula units: 116
Energy, eV/atom: -5.52
Calculated volume, A^3/atom: 16.594

abc: 5.3577 5.3577 5.3577
angles: 147.78 125.04 65.16
Fractional positions:
As 0.7500 0.2500 0.5000
Ir 0.9762 0.9762 0.0000
Ir 0.5238 0.5238 0.0000
Cd 0.2500 0.7500 0.5000


Record 12
# TlFe2CoTe

A relaxed TlFe2CoTe crystal (GGA-PBE, Alexandria).

Distance to the lowest polymorph of the same formula, kJ/mol of atoms: 78.4
Formation energy from raw total energies, meV per atom: 1527
Space-group type: P4/mmm (123)
Energy, eV/atom: -4.38
Calculated volume, A^3/atom: 22.951

abc: 4.8986 4.7821 4.8986
angles: 90.00 90.00 90.00
Each line ends with the local moment (μB).
Fractional positions:
Tl 0.0000 0.0000 0.0000  -0.09
Te 0.5000 0.5000 0.5000  0.04
Co 0.0000 0.5000 0.0000  -0.03
Fe 0.0000 0.0000 0.5000  3.10
Fe 0.5000 0.0000 0.0000  2.79


Record 13
# Nd3Sb2Br2

A relaxed Nd3Sb2Br2 crystal (GGA-PBE, Alexandria).

Formation energy from raw total energies, meV per atom: -1310
Space-group type: C2/m (12)
Energy, eV/atom: -5.01
Calculated volume, A^3/atom: 35.095

abc: 4.4289 7.7588 7.6842
angles: 103.10 106.75 90.00
Fractional positions:
Nd 0.0000 0.0000 0.0000
Nd 0.2443 0.7714 0.4885
Nd 0.7557 0.2286 0.5115
Sb 0.3869 0.1481 0.7738
Sb 0.6131 0.8519 0.2262
Br 0.1402 0.3662 0.2804
Br 0.8598 0.6338 0.7196


Record 14
# YCrAg2

A relaxed YCrAg2 crystal (GGA-PBE, Alexandria).

Distance to the lowest polymorph of the same formula, kJ/mol of atoms: 5.0
Space-group type: P4/mmm (123)
E_form, kJ/mol of formula units: 51
Energy, eV/atom: -5.31
Calculated volume, A^3/atom: 20.402

abc: 4.5311 4.5311 3.9749
angles: 90.00 90.00 90.03
Each line ends with the local moment (μB).
Fractional positions:
Ag 0.0000 0.0000 0.0000  -0.03
Ag 0.5000 0.5000 0.0000  -0.03
Cr 0.5000 0.0000 0.5000  3.52
Y 0.0000 0.5000 0.5000  -0.12


Record 15
# PbSe2NO

A relaxed PbSe2NO crystal (GGA-PBE, Alexandria).

Distance to the lowest polymorph of the same formula, kJ/mol of atoms: 0.0
Formation energy from raw total energies, meV per atom: 925
Space-group type: P4/mmm (123)
Energy, eV/atom: -3.87
Calculated volume, A^3/atom: 19.040

abc: 4.1781 4.1781 5.4536
angles: 90.00 90.00 90.00
Each line ends with the local moment (μB).
Fractional positions:
Pb 0.5000 0.5000 0.5000  -0.03
O 0.0000 0.0000 0.0000  0.08
Se 0.0000 0.5000 0.0000  0.17
Se 0.5000 0.0000 0.0000  0.17
N 0.0000 0.0000 0.5000  1.35


Record 16
# MnTl3Se3

A relaxed MnTl3Se3 crystal (GGA-PBE, Alexandria).

Distance to the lowest polymorph of the same formula, kJ/mol of atoms: 9.2
Formation energy from raw total energies, meV per atom: -279
Space-group type: Cmcm (63)
Energy, eV/atom: -4.10
Calculated volume, A^3/atom: 32.722

abc: 6.4884 9.0250 9.0253
angles: 119.91 90.00 90.00
Each line ends with the local moment (μB).
Fractional positions:
Mn 0.7500 0.3331 0.6670  3.83
Mn 0.2500 0.6669 0.3330  3.83
Tl 0.2500 0.5945 0.7968  -0.01
Tl 0.2500 0.2025 0.4054  -0.01
Tl 0.2500 0.2029 0.7977  -0.01
Tl 0.7500 0.4055 0.2032  -0.01
Tl 0.7500 0.7975 0.5946  -0.01
Tl 0.7500 0.7971 0.2023  -0.01
Se 0.7500 0.6368 0.8183  -0.07
Se 0.7500 0.1813 0.3633  -0.07
Se 0.7500 0.1812 0.8193  -0.07
Se 0.2500 0.3632 0.1817  -0.07
Se 0.2500 0.8187 0.6367  -0.07
Se 0.2500 0.8188 0.1807  -0.07


Record 17
# Tl2InNi

A relaxed Tl2InNi crystal (GGA-PBE, Alexandria).

Space-group type: I4/mmm (139)
E_form, kJ/mol of formula units: 146
Energy, eV/atom: -2.93
Calculated volume, A^3/atom: 23.368

abc: 5.5670 5.5670 5.5670
angles: 131.97 131.97 70.28
Fractional positions:
In 0.2500 0.7500 0.5000
Ni 0.7500 0.2500 0.5000
Tl 0.0000 0.0000 0.0000
Tl 0.5000 0.5000 0.0000


Record 18
# PrZnCuPd3

A relaxed PrZnCuPd3 crystal (GGA-PBE, Alexandria).

Space-group type: Cmcm (63)
E_form, kJ/mol of formula units: -218
Energy, eV/atom: -4.66
Calculated volume, A^3/atom: 18.335

abc: 5.8362 5.7890 7.1266
angles: 113.96 90.00 90.00
Fractional positions:
Pr 0.7500 0.3185 0.6370
Pr 0.2500 0.6815 0.3630
Zn 0.2500 0.3686 0.7372
Zn 0.7500 0.6314 0.2628
Cu 0.2500 0.8898 0.7797
Cu 0.7500 0.1102 0.2203
Pd 0.2500 0.1646 0.3293
Pd 0.0000 0.2570 0.0000
Pd 0.5000 0.7430 0.0000
Pd 0.5000 0.2570 0.0000
Pd 0.0000 0.7430 0.0000
Pd 0.7500 0.8354 0.6707


Record 19
# Nd3Si2Rh6

A relaxed Nd3Si2Rh6 crystal (GGA-PBE, Alexandria).

Formation energy from raw total energies, meV per atom: -752
Space-group type: Im-3m (229)
Energy, eV/atom: -7.05
Calculated volume, A^3/atom: 18.993

abc: 8.1572 8.1572 8.1572
angles: 109.47 109.47 109.47
Fractional positions:
Nd 0.7059 0.0000 0.7059
Nd 0.2941 0.0000 0.2941
Nd 0.0000 0.2941 0.2941
Nd 0.0000 0.7059 0.7059
Nd 0.2941 0.2941 0.0000
Nd 0.7059 0.7059 0.0000
Si 0.0000 0.5000 0.0000
Si 0.5000 0.0000 0.0000
Si 0.0000 0.0000 0.5000
Si 0.5000 0.5000 0.5000
Rh 0.6876 0.3752 0.6876
Rh 0.6876 0.0000 0.3124
Rh 0.3124 0.0000 0.6876
Rh 0.3124 0.6248 0.3124
Rh 0.0000 0.6876 0.3124
Rh 0.6248 0.3124 0.3124
Rh 0.3752 0.6876 0.6876
Rh 0.0000 0.3124 0.6876
Rh 0.3124 0.6876 0.0000
Rh 0.6876 0.6876 0.3752
Rh 0.3124 0.3124 0.6248
Rh 0.6876 0.3124 0.0000


Record 20
# Cs5S

A relaxed Cs5S crystal (GGA-PBE, Alexandria).

Distance to the lowest polymorph of the same formula, kJ/mol of atoms: 6.1
Formation energy from raw total energies, meV per atom: -420
Space-group type: Cmmm (65)
Energy, eV/atom: -1.82
Calculated volume, A^3/atom: 83.942

abc: 5.8215 4.6347 18.8100
angles: 97.08 90.00 90.00
Fractional positions:
Cs 0.5000 0.8157 0.6315
Cs 0.0000 0.5699 0.1397
Cs 0.5000 0.5000 0.0000
Cs 0.0000 0.4301 0.8603
Cs 0.5000 0.1843 0.3685
S 0.0000 0.0000 0.0000